# 1
This record from Alexandria describes a geometry-optimized YScNiIr structure. The functional is PBE-GGA.

Values from the calculation:
The formation energy comes out at -0.666 eV/atom. The calculation puts the calculated volume at 73 Å³/cell. The symmetry is F-43m, No. 216. The theoretical density comes out at 8.7 g/cm3.

a b c (Å): 4.695 4.695 4.695
angles (deg): 60.00 60.00 60.00
Sites, in units of the cell vectors:
Y (0.000, 0.000, 0.000)
Sc (0.500, 0.500, 0.500)
Ni (0.750, 0.750, 0.750)
Ir (0.250, 0.250, 0.250)

# 2
This record from Alexandria describes a geometry-optimized ScZnNiIr structure. The functional is PBE-GGA.

Values from the calculation:
The formation energy comes out at -0.556 eV/atom. The distance to the lowest polymorph of the same formula is 0.000 eV/atom. The calculation puts the calculated volume at 58 Å³/cell. The symmetry is Pmmm, No. 47. The theoretical density comes out at 10.3 g/cm3.

a b c (Å): 3.520 4.064 4.079
angles (deg): 90.00 90.00 90.00
Sites, in units of the cell vectors:
Sc (0.000, 0.000, 0.000)
Zn (0.000, 0.500, 0.500)
Ni (0.500, 0.000, 0.500)
Ir (0.500, 0.500, 0.000)

# 3
This record from Alexandria describes a geometry-optimized Sc4ZnNiIr2 structure. The functional is PBE-GGA.

Values from the calculation:
The formation energy comes out at -0.760 eV/atom. The calculation puts the calculated volume at 137 Å³/cell. The symmetry is R-3m, No. 166. The theoretical density comes out at 8.4 g/cm3.

a b c (Å): 7.951 7.951 7.951
angles (deg): 33.54 33.54 33.54
Sites, in units of the cell vectors:
Sc (0.122, 0.122, 0.122)
Sc (0.373, 0.373, 0.373)
Sc (0.627, 0.627, 0.627)
Sc (0.878, 0.878, 0.878)
Zn (0.500, 0.500, 0.500)
Ni (0.000, 0.000, 0.000)
Ir (0.249, 0.249, 0.249)
Ir (0.751, 0.751, 0.751)

# 4
This record from Alexandria describes a geometry-optimized ScZnNiIr structure. The functional is PBE-GGA.

Values from the calculation:
The formation energy comes out at -0.534 eV/atom. The distance to the lowest polymorph of the same formula is 0.022 eV/atom. The calculation puts the calculated volume at 59 Å³/cell. The symmetry is F-43m, No. 216. The theoretical density comes out at 10.2 g/cm3.

a b c (Å): 4.371 4.371 4.371
angles (deg): 60.00 60.00 60.00
Sites, in units of the cell vectors:
Sc (0.000, 0.000, 0.000)
Zn (0.500, 0.500, 0.500)
Ni (0.750, 0.750, 0.750)
Ir (0.250, 0.250, 0.250)

# 5
This record from Alexandria describes a geometry-optimized Ni2IrSe2 structure. The functional is PBE-GGA.

Values from the calculation:
The distance to the lowest polymorph of the same formula is 0.000 eV/atom. The calculation puts the calculated volume at 143 Å³/cell. The symmetry is P4/mbm, No. 127. Its uncorrected formation energy is 0.2579 eV per atom. The theoretical density comes out at 10.9 g/cm3.

a b c (Å): 6.768 6.768 3.120
angles (deg): 90.00 90.00 90.00
Sites, in units of the cell vectors:
Ni (0.130, 0.370, 0.000)
Ni (0.370, 0.870, 0.000)
Ni (0.630, 0.130, 0.000)
Ni (0.870, 0.630, 0.000)
Ir (0.000, 0.000, 0.000)
Ir (0.500, 0.500, 0.000)
Se (0.175, 0.675, 0.500)
Se (0.325, 0.175, 0.500)
Se (0.675, 0.825, 0.500)
Se (0.825, 0.325, 0.500)

# 6
This record from Alexandria describes a geometry-optimized Ni2IrSe structure. The functional is PBE-GGA.

Values from the calculation:
The distance to the lowest polymorph of the same formula is 0.046 eV/atom. The calculation puts the calculated volume at 54 Å³/cell. The symmetry is Imm2, No. 44. Its uncorrected formation energy is 0.2283 eV per atom. The theoretical density comes out at 11.9 g/cm3.

a b c (Å): 5.104 5.104 5.104
angles (deg): 146.00 132.84 59.40
Sites, in units of the cell vectors:
Ni (0.000, 0.000, 0.000)
Ni (0.724, 0.224, 0.500)
Ir (0.448, 0.448, 0.000)
Se (0.220, 0.720, 0.500)

# 7
This record from Alexandria describes a geometry-optimized Ni2IrSe structure. The functional is PBE-GGA.

Values from the calculation:
The distance to the lowest polymorph of the same formula is 0.094 eV/atom. The calculation puts the calculated volume at 54 Å³/cell. The symmetry is P2/m, No. 10. Its uncorrected formation energy is 0.2760 eV per atom. The theoretical density comes out at 12.0 g/cm3.

a b c (Å): 4.345 2.909 4.477
angles (deg): 90.00 107.48 90.00
Sites, in units of the cell vectors:
Ni (0.000, 0.000, 0.000)
Ni (0.000, 0.500, 0.500)
Ir (0.500, 0.000, 0.500)
Se (0.500, 0.500, 0.000)

# 8
This record from Alexandria describes a geometry-optimized Ni2IrSe structure. The functional is PBE-GGA.

Values from the calculation:
The distance to the lowest polymorph of the same formula is 0.165 eV/atom. The calculation puts the calculated volume at 54 Å³/cell. The symmetry is I4/mmm, No. 139. Its uncorrected formation energy is 0.3476 eV per atom. The theoretical density comes out at 11.9 g/cm3.

a b c (Å): 4.588 4.588 4.588
angles (deg): 130.83 130.83 72.08
Sites, in units of the cell vectors:
Ni (0.250, 0.750, 0.500)
Ni (0.750, 0.250, 0.500)
Ir (0.000, 0.000, 0.000)
Se (0.500, 0.500, 0.000)

# 9
This record from Alexandria describes a geometry-optimized Ni2IrSe2 structure. The functional is PBE-GGA.

Values from the calculation:
The distance to the lowest polymorph of the same formula is 0.203 eV/atom. The calculation puts the calculated volume at 78 Å³/cell. The symmetry is I4/mmm, No. 139. Its uncorrected formation energy is 0.4610 eV per atom. The theoretical density comes out at 10.0 g/cm3.

a b c (Å): 4.940 4.940 4.940
angles (deg): 125.14 125.14 81.31
Sites, in units of the cell vectors:
Ni (0.150, 0.150, 0.000)
Ni (0.850, 0.850, 0.000)
Ir (0.500, 0.500, 0.000)
Se (0.250, 0.750, 0.500)
Se (0.750, 0.250, 0.500)

# 10
This record from Alexandria describes a geometry-optimized Ni2IrSe structure. The functional is PBE-GGA.

Values from the calculation:
The distance to the lowest polymorph of the same formula is 0.086 eV/atom. The calculation puts the calculated volume at 53 Å³/cell. The symmetry is C2/m, No. 12. Its uncorrected formation energy is 0.2689 eV per atom. The theoretical density comes out at 12.1 g/cm3.

a b c (Å): 4.942 4.942 4.381
angles (deg): 116.21 116.21 34.27
Sites, in units of the cell vectors:
Ni (0.226, 0.226, 0.226)
Ni (0.774, 0.774, 0.774)
Ir (0.000, 0.000, 0.500)
Se (0.500, 0.500, 0.000)

# 11
This record from Alexandria describes a geometry-optimized Ni2IrSe structure. The functional is PBE-GGA.

Values from the calculation:
The distance to the lowest polymorph of the same formula is 0.110 eV/atom. The calculation puts the calculated volume at 53 Å³/cell. The symmetry is P4/mmm, No. 123. Its uncorrected formation energy is 0.2929 eV per atom. The theoretical density comes out at 12.1 g/cm3.

a b c (Å): 3.872 3.872 3.553
angles (deg): 90.00 90.00 90.00
Sites, in units of the cell vectors:
Ni (0.000, 0.500, 0.000)
Ni (0.500, 0.000, 0.000)
Ir (0.000, 0.000, 0.500)
Se (0.500, 0.500, 0.500)

# 12
This record from Alexandria describes a geometry-optimized Ni2IrSe structure. The functional is PBE-GGA.

Values from the calculation:
The distance to the lowest polymorph of the same formula is 0.188 eV/atom. The calculation puts the calculated volume at 55 Å³/cell. The symmetry is Cmmm, No. 65. Its uncorrected formation energy is 0.3706 eV per atom. The theoretical density comes out at 11.7 g/cm3.

a b c (Å): 2.741 2.741 8.369
angles (deg): 90.00 90.00 118.37
Sites, in units of the cell vectors:
Ni (0.000, 0.000, 0.248)
Ni (0.000, 0.000, 0.752)
Ir (0.500, 0.500, 0.500)
Se (0.500, 0.500, 0.000)

# 13
This record from Alexandria describes a geometry-optimized Ni2IrSe structure. The functional is PBE-GGA.

Values from the calculation:
The distance to the lowest polymorph of the same formula is 0.141 eV/atom. The calculation puts the calculated volume at 55 Å³/cell. The symmetry is R3m, No. 160. Its uncorrected formation energy is 0.3238 eV per atom. The theoretical density comes out at 11.7 g/cm3.

a b c (Å): 7.942 7.942 7.942
angles (deg): 20.74 20.74 20.74
Sites, in units of the cell vectors:
Ni (0.000, 0.000, 0.000)
Ni (0.252, 0.252, 0.252)
Ir (0.501, 0.501, 0.501)
Se (0.742, 0.742, 0.742)

# 14
This record from Alexandria describes a geometry-optimized Ni2IrSe structure. The functional is PBE-GGA.

Values from the calculation:
The distance to the lowest polymorph of the same formula is 0.149 eV/atom. The calculation puts the calculated volume at 54 Å³/cell. The symmetry is Pmmm, No. 47. Its uncorrected formation energy is 0.3313 eV per atom. The theoretical density comes out at 11.9 g/cm3.

a b c (Å): 2.887 4.267 4.402
angles (deg): 90.00 90.00 90.00
Sites, in units of the cell vectors:
Ni (0.000, 0.000, 0.000)
Ni (0.500, 0.000, 0.500)
Ir (0.000, 0.500, 0.500)
Se (0.500, 0.500, 0.000)

# 15
This record from Alexandria describes a geometry-optimized Ni2IrSe6 structure. The functional is PBE-GGA.

Values from the calculation:
The calculation puts the calculated volume at 175 Å³/cell. The symmetry is C2/m, No. 12. Its uncorrected formation energy is -0.2742 eV per atom. The theoretical density comes out at 7.4 g/cm3.

a b c (Å): 6.280 6.280 8.010
angles (deg): 95.97 95.97 33.87
Sites, in units of the cell vectors:
Ni (0.171, 0.171, 0.334)
Ni (0.829, 0.829, 0.666)
Ir (0.500, 0.500, 0.000)
Se (0.022, 0.022, 0.795)
Se (0.305, 0.305, 0.859)
Se (0.355, 0.355, 0.480)
Se (0.645, 0.645, 0.520)
Se (0.695, 0.695, 0.141)
Se (0.978, 0.978, 0.205)

# 16
This record from Alexandria describes a geometry-optimized Ni2IrSe structure. The functional is PBE-GGA.

Values from the calculation:
The distance to the lowest polymorph of the same formula is 0.271 eV/atom. The calculation puts the calculated volume at 58 Å³/cell. The symmetry is Cmm2, No. 35. Its uncorrected formation energy is 0.4536 eV per atom. The theoretical density comes out at 11.2 g/cm3.

a b c (Å): 2.674 2.674 9.076
angles (deg): 90.00 90.00 116.97
Sites, in units of the cell vectors:
Ni (0.000, 0.000, 0.000)
Ni (0.500, 0.500, 0.219)
Ir (0.500, 0.500, 0.770)
Se (0.000, 0.000, 0.438)

# 17
This record from Alexandria describes a geometry-optimized Ni4IrSe structure. The functional is PBE-GGA.

Values from the calculation:
The calculation puts the calculated volume at 76 Å³/cell. The symmetry is F-43m, No. 216. Its uncorrected formation energy is 0.3587 eV per atom. The theoretical density comes out at 11.0 g/cm3.

a b c (Å): 4.760 4.760 4.760
angles (deg): 60.00 60.00 60.00
Sites, in units of the cell vectors:
Ni (0.376, 0.376, 0.376)
Ni (0.376, 0.376, 0.873)
Ni (0.376, 0.873, 0.376)
Ni (0.873, 0.376, 0.376)
Ir (0.750, 0.750, 0.750)
Se (0.000, 0.000, 0.000)

# 18
This record from Alexandria describes a geometry-optimized Ni2IrSe structure. The functional is PBE-GGA.

Values from the calculation:
The distance to the lowest polymorph of the same formula is 0.004 eV/atom. The calculation puts the calculated volume at 54 Å³/cell. The symmetry is Cm, No. 8. Its uncorrected formation energy is 0.1866 eV per atom. The theoretical density comes out at 12.1 g/cm3.

a b c (Å): 4.360 4.360 4.502
angles (deg): 100.53 100.53 39.63
Sites, in units of the cell vectors:
Ni (0.000, 0.000, 0.000)
Ni (0.745, 0.745, 0.206)
Ir (0.495, 0.495, 0.484)
Se (0.245, 0.245, 0.767)

# 19
This record from Alexandria describes a geometry-optimized NiIrSe4 structure. The functional is PBE-GGA.

Values from the calculation:
The distance to the lowest polymorph of the same formula is 0.012 eV/atom. The calculation puts the calculated volume at 119 Å³/cell. The symmetry is C2/m, No. 12. Its uncorrected formation energy is -0.2704 eV per atom. The theoretical density comes out at 7.9 g/cm3.

a b c (Å): 6.249 6.249 6.349
angles (deg): 119.75 119.75 34.29
Sites, in units of the cell vectors:
Ni (0.000, 0.000, 0.000)
Ir (0.500, 0.500, 0.500)
Se (0.125, 0.125, 0.794)
Se (0.381, 0.381, 0.727)
Se (0.619, 0.619, 0.273)
Se (0.875, 0.875, 0.206)

# 20
This record from Alexandria describes a geometry-optimized Ni2IrSe structure. The functional is PBE-GGA.

Values from the calculation:
The distance to the lowest polymorph of the same formula is 0.027 eV/atom. The calculation puts the calculated volume at 53 Å³/cell. The symmetry is Cmmm, No. 65. Its uncorrected formation energy is 0.2097 eV per atom. The theoretical density comes out at 12.1 g/cm3.

a b c (Å): 4.490 4.490 2.810
angles (deg): 90.00 90.00 109.49
Sites, in units of the cell vectors:
Ni (0.000, 0.500, 0.000)
Ni (0.500, 0.000, 0.000)
Ir (0.000, 0.000, 0.500)
Se (0.500, 0.500, 0.500)